6
Lattice="4.821 0.000 0.000 -2.411 4.175 0.000 0.000 0.000 7.581" Properties=species:S:1:pos:R:3 comment="Sm2Ag2SnPb GGA-PBE relaxed" magnetic_moment_mub_per_fu=0.01 energy_ev_per_atom=-4.336 pbc="T T T"
Sm 0.000 0.000 0.000
Sm 0.000 0.000 3.759
Ag 0.000 2.783 1.498
Ag 2.411 1.392 5.158
Sn 2.411 1.392 2.097
Pb 0.000 2.783 5.907